(1)
## Pr3UTl3Te8 (PBE)

Data for a relaxed Pr3UTl3Te8 crystal.

Lattice parameters (Å, degrees): 9.091 9.091 9.772 117.73 117.73 60.02
Sites, in units of the cell vectors:
1 Pr 0.000 0.000 0.000
2 Pr 0.000 0.500 0.000
3 Pr 0.500 0.000 0.000
4 U 0.500 0.500 0.000
5 Tl 0.000 0.500 0.500
6 Tl 0.500 0.000 0.500
7 Tl 0.500 0.500 0.500
8 Te 0.241 0.241 0.223
9 Te 0.250 0.732 0.215
10 Te 0.268 0.268 0.785
11 Te 0.268 0.750 0.785
12 Te 0.732 0.250 0.215
13 Te 0.732 0.732 0.215
14 Te 0.750 0.268 0.785
15 Te 0.759 0.759 0.777

Values from the calculation:
Formation energy (no corrections) ... -0.98 eV per atom
N(E_F) ... 5.3 states/eV/cell
Total DFT energy (no corrections) ... -4.83 eV/atom
V ... 589.93 Å³/f.u.
M_tot ... 1.999 μB/f.u.
Crystal system ... monoclinic



(2)
## LiAsCl2 (PBE)

Data for a relaxed LiAsCl2 crystal.

Lattice parameters (Å, degrees): 3.582 3.582 26.183 90.00 90.00 120.00
Sites, in units of the cell vectors:
1 Li 0.000 0.000 0.000
2 Li 0.333 0.667 0.667
3 Li 0.667 0.333 0.333
4 As 0.000 0.000 0.773
5 As 0.333 0.667 0.439
6 As 0.667 0.333 0.106
7 Cl 0.000 0.000 0.305
8 Cl 0.000 0.000 0.503
9 Cl 0.333 0.667 0.170
10 Cl 0.333 0.667 0.971
11 Cl 0.667 0.333 0.638
12 Cl 0.667 0.333 0.837

Values from the calculation:
Formation energy (no corrections) ... -0.52 eV per atom
N(E_F) ... 0.8 states/eV/cell
Total DFT energy (no corrections) ... -3.08 eV/atom
V ... 96.97 Å³/f.u.
Offset from the most stable computed form ... 8.36 kcal/mol of atoms
M_tot ... 0.000 μB/f.u.
Crystal system ... trigonal



(3)
## PtCS3 (PBE)

Data for a relaxed PtCS3 crystal.

Lattice parameters (Å, degrees): 4.724 4.724 4.724 90.00 90.00 90.00
Sites, in units of the cell vectors:
1 Pt 0.000 0.000 0.000
2 C 0.500 0.500 0.500
3 S 0.000 0.000 0.500
4 S 0.000 0.500 0.000
5 S 0.500 0.000 0.000

Values from the calculation:
Formation energy (no corrections) ... 1.94 eV per atom
N(E_F) ... 3.9 states/eV/cell
Total DFT energy (no corrections) ... -3.59 eV/atom
V ... 105.40 Å³/f.u.
Offset from the most stable computed form ... 13.01 kcal/mol of atoms
M_tot ... 1.259 μB/f.u.
Crystal system ... cubic



(4)
## Ba8Pt3Au (PBE)

Data for a relaxed Ba8Pt3Au crystal.

Lattice parameters (Å, degrees): 9.217 9.217 9.280 119.16 119.16 61.18
Sites, in units of the cell vectors:
1 Ba 0.232 0.750 0.754
2 Ba 0.243 0.243 0.260
3 Ba 0.250 0.250 0.728
4 Ba 0.250 0.768 0.246
5 Ba 0.750 0.232 0.754
6 Ba 0.750 0.750 0.272
7 Ba 0.757 0.757 0.740
8 Ba 0.768 0.250 0.246
9 Pt 0.000 0.000 0.000
10 Pt 0.000 0.500 0.500
11 Pt 0.500 0.000 0.500
12 Au 0.500 0.500 0.000

Values from the calculation:
N(E_F) ... 7.3 states/eV/cell
Total DFT energy (no corrections) ... -3.68 eV/atom
V ... 569.44 Å³/f.u.
M_tot ... 0.000 μB/f.u.
DFT formation energy ... -610 meV/atom
Crystal system ... monoclinic



(5)
## Na3CaNp2S6 (PBE)

Data for a relaxed Na3CaNp2S6 crystal.

Lattice parameters (Å, degrees): 6.978 6.978 7.034 99.56 99.56 119.99
Sites, in units of the cell vectors:
1 Na 0.000 0.000 0.000
2 Na 0.335 0.665 0.000
3 Na 0.665 0.335 0.000
4 Ca 0.500 0.500 0.500
5 Np 0.167 0.833 0.500
6 Np 0.833 0.167 0.500
7 S 0.079 0.424 0.274
8 S 0.230 0.230 0.728
9 S 0.424 0.079 0.274
10 S 0.576 0.921 0.726
11 S 0.770 0.770 0.272
12 S 0.921 0.576 0.726

Values from the calculation:
Formation energy (no corrections) ... -1.49 eV per atom
N(E_F) ... 16.6 states/eV/cell
Total DFT energy (no corrections) ... -6.20 eV/atom
V ... 279.83 Å³/f.u.
M_tot ... 7.000 μB/f.u.
Crystal system ... monoclinic



(6)
## TlCrIn2 (PBE)

Data for a relaxed TlCrIn2 crystal.

Lattice parameters (Å, degrees): 4.541 4.541 4.595 90.00 90.00 90.00
Sites, in units of the cell vectors:
1 Tl 0.000 0.000 0.000
2 Cr 0.500 0.500 0.000
3 In 0.000 0.500 0.500
4 In 0.500 0.000 0.500

Values from the calculation:
N(E_F) ... 2.2 states/eV/cell
Total DFT energy (no corrections) ... -4.00 eV/atom
V ... 94.74 Å³/f.u.
Offset from the most stable computed form ... 2.46 kcal/mol of atoms
M_tot ... 4.019 μB/f.u.
DFT formation energy ... 363 meV/atom
Crystal system ... tetragonal



(7)
## ReIrN2O (PBE)

Data for a relaxed ReIrN2O crystal.

Lattice parameters (Å, degrees): 3.952 3.952 3.769 90.00 90.00 90.00
Sites, in units of the cell vectors:
1 Re 0.000 0.000 0.000
2 Ir 0.500 0.500 0.500
3 N 0.000 0.500 0.000
4 N 0.500 0.000 0.000
5 O 0.000 0.000 0.500

Values from the calculation:
Formation energy (no corrections) ... 0.94 eV per atom
N(E_F) ... 4.9 states/eV/cell
Total DFT energy (no corrections) ... -7.65 eV/atom
V ... 58.87 Å³/f.u.
M_tot ... 1.385 μB/f.u.
Crystal system ... tetragonal



(8)
## LiCaIn2Ag4 (PBE)

Data for a relaxed LiCaIn2Ag4 crystal.

Lattice parameters (Å, degrees): 8.594 8.594 8.594 32.53 32.53 32.53
Sites, in units of the cell vectors:
1 Li 0.000 0.000 0.000
2 Ca 0.500 0.500 0.500
3 In 0.251 0.251 0.251
4 In 0.749 0.749 0.749
5 Ag 0.110 0.110 0.110
6 Ag 0.370 0.370 0.370
7 Ag 0.630 0.630 0.630
8 Ag 0.890 0.890 0.890

Values from the calculation:
N(E_F) ... 1.6 states/eV/cell
Total DFT energy (no corrections) ... -2.85 eV/atom
V ... 163.26 Å³/f.u.
M_tot ... 0.000 μB/f.u.
DFT formation energy ... -246 meV/atom
Crystal system ... trigonal



(9)
## CeDyCI (PBE)

Data for a relaxed CeDyCI crystal.

Lattice parameters (Å, degrees): 3.767 3.767 23.027 90.00 90.00 120.00
Sites, in units of the cell vectors:
1 Ce 0.000 0.000 0.000
2 Ce 0.333 0.667 0.667
3 Ce 0.667 0.333 0.333
4 Dy 0.000 0.000 0.782
5 Dy 0.333 0.667 0.448
6 Dy 0.667 0.333 0.115
7 C 0.000 0.000 0.393
8 C 0.333 0.667 0.060
9 C 0.667 0.333 0.727
10 I 0.000 0.000 0.219
11 I 0.333 0.667 0.885
12 I 0.667 0.333 0.552

Values from the calculation:
Formation energy (no corrections) ... -0.69 eV per atom
N(E_F) ... 14.5 states/eV/cell
Total DFT energy (no corrections) ... -6.02 eV/atom
V ... 94.33 Å³/f.u.
M_tot ... 1.140 μB/f.u.
Crystal system ... trigonal



(10)
## La2Cu2I (PBE)

Data for a relaxed La2Cu2I crystal.

Lattice parameters (Å, degrees): 8.258 8.258 3.834 90.00 90.00 90.00
Sites, in units of the cell vectors:
1 La 0.172 0.328 0.000
2 La 0.328 0.828 0.000
3 La 0.672 0.172 0.000
4 La 0.828 0.672 0.000
5 Cu 0.110 0.610 0.500
6 Cu 0.390 0.110 0.500
7 Cu 0.610 0.890 0.500
8 Cu 0.890 0.390 0.500
9 I 0.000 0.000 0.500
10 I 0.500 0.500 0.500

Values from the calculation:
Formation energy (no corrections) ... -0.34 eV per atom
N(E_F) ... 10.5 states/eV/cell
Total DFT energy (no corrections) ... -4.26 eV/atom
V ... 130.72 Å³/f.u.
Offset from the most stable computed form ... 6.05 kcal/mol of atoms
M_tot ... 0.000 μB/f.u.
Crystal system ... tetragonal



(11)
## SrDy2Ag3 (PBE)

Data for a relaxed SrDy2Ag3 crystal.

Lattice parameters (Å, degrees): 3.699 3.699 11.340 90.00 90.00 90.00
Sites, in units of the cell vectors:
1 Sr 0.000 0.000 0.000
2 Dy 0.000 0.000 0.339
3 Dy 0.000 0.000 0.661
4 Ag 0.500 0.500 0.196
5 Ag 0.500 0.500 0.500
6 Ag 0.500 0.500 0.804

Values from the calculation:
N(E_F) ... 3.7 states/eV/cell
Total DFT energy (no corrections) ... -3.53 eV/atom
V ... 155.19 Å³/f.u.
M_tot ... 0.000 μB/f.u.
DFT formation energy ... -295 meV/atom
Crystal system ... tetragonal



(12)
## AlCdW (PBE)

Data for a relaxed AlCdW crystal.

Lattice parameters (Å, degrees): 6.365 6.365 6.365 90.00 90.00 90.00
Sites, in units of the cell vectors:
1 Al 0.000 0.000 0.000
2 Al 0.000 0.500 0.500
3 Al 0.500 0.000 0.500
4 Al 0.500 0.500 0.000
5 Cd 0.000 0.000 0.500
6 Cd 0.000 0.500 0.000
7 Cd 0.500 0.000 0.000
8 Cd 0.500 0.500 0.500
9 W 0.250 0.250 0.750
10 W 0.250 0.750 0.250
11 W 0.750 0.250 0.250
12 W 0.750 0.750 0.750

Values from the calculation:
N(E_F) ... 16.9 states/eV/cell
Total DFT energy (no corrections) ... -4.78 eV/atom
V ... 64.47 Å³/f.u.
Offset from the most stable computed form ... 17.89 kcal/mol of atoms
M_tot ... 1.587 μB/f.u.
DFT formation energy ... 1087 meV/atom
Crystal system ... cubic